No. 1
A geometry-optimized K2SrCr structure, computed with PBE-GGA.

Summary:
- symmetry = R-3m
- total energy (eV per atom) = -2.65

a = 13.391 Å, b = 13.391 Å, c = 13.391 Å
α = 18.07°, β = 18.07°, γ = 18.07°
Fractional positions:
K 0.235 0.235 0.235
K 0.765 0.765 0.765
Sr 0.000 0.000 0.000
Cr 0.500 0.500 0.500

=====

No. 2
A geometry-optimized BeAs2Au2 structure, computed with PBE-GGA.

Summary:
- symmetry = P4/mbm
- total energy (eV per atom) = -3.78

a = 6.002 Å, b = 6.002 Å, c = 5.185 Å
α = 90.00°, β = 90.00°, γ = 90.00°
Fractional positions:
Be 0.000 0.000 0.000
Be 0.500 0.500 0.000
As 0.146 0.354 0.000
As 0.354 0.854 0.000
As 0.646 0.146 0.000
As 0.854 0.646 0.000
Au 0.175 0.325 0.500
Au 0.325 0.825 0.500
Au 0.675 0.175 0.500
Au 0.825 0.675 0.500

=====

Question: Look up the total energy of the second one.
Answer: -3.78 eV per atom

=====

Question: Among the records above, which one has the highest total energy?
Answer: K2SrCr